(1)
Rb7Cl2O2: relaxed, PBE-GGA.

Calculated values
offset from the most stable computed form = 65.2 meV/atom
density of states at the Fermi level = 2.19 states/eV/f.u.
formation energy without anion corrections = -107 kJ/mol of atoms
space group = Cmmm, No. 65
ρ = 2.9 g/cm3

Lattice parameters (Å, degrees): 7.2153 7.9121 7.2153 90.00 97.91 90.00
Closest atoms and distances in Å follow each position.
Fractional positions:
Rb1 0.0001 0.2229 0.5001  2 O 2.97-2.98
Rb2 0.5001 0.7771 0.0001  2 O 2.97-2.98
Rb3 0.5000 0.7912 0.5000  2 O 2.88
Rb4 0.9999 0.7771 0.4999  2 O 2.97-2.98
Rb5 0.4999 0.2229 0.9999  2 O 2.97-2.98
Rb6 0.5000 0.2088 0.5000  2 O 2.88
Rb7 0.0000 0.0000 0.0000  2 O 3.08
O1 0.2829 0.0000 0.7171  7 Rb 2.88-3.08
O2 0.7171 0.0000 0.2829  7 Rb 2.88-3.08
Cl1 0.7458 0.5000 0.7458  6 Rb 3.28-3.49
Cl2 0.2542 0.5000 0.2542  6 Rb 3.28-3.49

(2)
MgSn2I: relaxed, PBE-GGA.

Calculated values
offset from the most stable computed form = 0.0 meV/atom
density of states at the Fermi level = 3.39 states/eV/f.u.
formation energy without anion corrections = 20 kJ/mol of atoms
space group = Fm-3m, No. 225
ρ = 5.6 g/cm3

Lattice parameters (Å, degrees): 5.4761 5.4761 5.4761 60.00 60.00 60.00
Closest atoms and distances in Å follow each position.
Fractional positions:
Mg1 0.0000 0.0000 0.0000  8 Sn 3.35
I1 0.5000 0.5000 0.5000  8 Sn 3.35
Sn1 0.7500 0.7500 0.7500  4 Mg 3.35, 4 I 3.35
Sn2 0.2500 0.2500 0.2500  4 I 3.35, 4 Mg 3.35

(3)
CaNd3Co: relaxed, PBE-GGA.

Calculated values
offset from the most stable computed form = 0.0 meV/atom
density of states at the Fermi level = 6.21 states/eV/f.u.
space group = C2/m, No. 12
ρ = 5.6 g/cm3
ΔE_f = -0.002 eV/atom

Lattice parameters (Å, degrees): 3.7849 7.4865 11.4506 92.66 90.00 104.64
Closest atoms and distances in Å follow each position.
Fractional positions:
Nd1 0.4391 0.8781 0.1684  1 Co 2.92
Nd2 0.9328 0.8657 0.6181  4 Co 2.89-2.94
Nd3 0.2109 0.4218 0.6430  2 Co 2.76
Nd4 0.7891 0.5782 0.3570  2 Co 2.76
Nd5 0.0672 0.1343 0.3819  4 Co 2.89-2.94
Nd6 0.5609 0.1219 0.8316  1 Co 2.92
Ca1 0.1656 0.3312 0.0923  8 Nd 3.67-4.01, 4 Ca 3.78-3.81
Ca2 0.8344 0.6688 0.9077  8 Nd 3.67-4.01, 4 Ca 3.78-3.81
Co1 0.5791 0.1582 0.5785  7 Nd 2.76-2.94, 1 Co 2.84
Co2 0.4209 0.8418 0.4215  7 Nd 2.76-2.94, 1 Co 2.84

(4)
CsBeBi: relaxed, PBE-GGA.

Calculated values
density of states at the Fermi level = 0.34 states/eV/f.u.
space group = Cm, No. 8
ρ = 5.0 g/cm3
ΔE_f = 0.111 eV/atom

Lattice parameters (Å, degrees): 16.9408 7.3002 7.3002 130.58 148.66 31.34
Closest atoms and distances in Å follow each position.
Fractional positions:
Bi1 0.4455 0.3556 0.6444  2 Be 2.58
Bi2 0.8853 0.9892 0.0108  2 Be 2.58
Be1 0.6676 0.8443 0.5075  1 Be 2.15
Be2 0.6676 0.4925 0.1557  1 Be 2.15
Cs1 0.3122 0.8451 0.1549  5 Bi 3.88-4.29, 4 Be 3.93-4.04
Cs2 0.0199 0.4978 0.5022  5 Bi 3.88-4.29, 6 Be 3.95-4.34

(5)
VSbAs2Br: relaxed, PBE-GGA.

Calculated values
offset from the most stable computed form = 0.0 meV/atom
density of states at the Fermi level = 4.75 states/eV/f.u.
formation energy without anion corrections = 27 kJ/mol of atoms
space group = P4/mmm, No. 123
ρ = 5.6 g/cm3

Lattice parameters (Å, degrees): 4.8709 4.8709 5.0198 90.00 90.00 90.00
Closest atoms and distances in Å follow each position.
Fractional positions:
As1 0.0000 0.5000 0.0000  2 V 2.44
As2 0.5000 0.0000 0.0000  2 V 2.44
Sb1 0.5000 0.5000 0.5000  4 Br 3.44, 8 As 3.50
Br1 0.0000 0.0000 0.5000  2 V 2.51
V1 0.0000 0.0000 0.0000  4 As 2.44, 2 Br 2.51

(6)
DyPuHg6: relaxed, PBE-GGA.

Calculated values
density of states at the Fermi level = 17.39 states/eV/f.u.
space group = Amm2, No. 38
ρ = 13.6 g/cm3
ΔE_f = -0.232 eV/atom

Lattice parameters (Å, degrees): 5.0882 6.6777 6.6777 119.94 90.00 90.00
Closest atoms and distances in Å follow each position.
Fractional positions:
Hg1 0.5000 0.4174 0.0847  8 Hg 3.19-3.36, 2 Dy 3.19, 2 Pu 3.33-3.34
Hg2 0.5000 0.9175 0.0825  8 Hg 3.19-3.35, 2 Dy 3.19, 2 Pu 3.34
Hg3 0.0000 0.5858 0.9201  8 Hg 3.19-3.38, 2 Pu 3.20, 2 Dy 3.33-3.35
Hg4 0.0000 0.0799 0.4142  8 Hg 3.19-3.38, 2 Pu 3.20, 2 Dy 3.33-3.35
Hg5 0.5000 0.9153 0.5826  8 Hg 3.19-3.36, 2 Dy 3.19, 2 Pu 3.33-3.34
Hg6 0.0000 0.5836 0.4164  8 Hg 3.19-3.36, 2 Pu 3.20, 2 Dy 3.34
Dy1 0.0000 0.0846 0.9154  12 Hg 3.19-3.35
Pu1 0.5000 0.4156 0.5844  12 Hg 3.20-3.34

(7)
ScAg2Au6: relaxed, PBE-GGA.

Calculated values
density of states at the Fermi level = 2.69 states/eV/f.u.
space group = C2/c, No. 15
ρ = 13.9 g/cm3
ΔE_f = -0.186 eV/atom

Lattice parameters (Å, degrees): 5.3631 8.1194 8.1194 78.83 84.77 84.77
Closest atoms and distances in Å follow each position.
Fractional positions:
Ag1 0.6260 0.6625 0.7393  2 Ag 2.80, 8 Au 2.82-3.10
Ag2 0.8740 0.2607 0.3375  2 Ag 2.80, 8 Au 2.82-3.10
Ag3 0.1260 0.7393 0.6625  2 Ag 2.80, 8 Au 2.82-3.10
Ag4 0.3740 0.3375 0.2607  2 Ag 2.80, 8 Au 2.82-3.10
Au1 0.2822 0.7639 0.0137  4 Au 2.77-3.03, 3 Sc 2.82-3.03, 2 Ag 2.95-3.09
Au2 0.0086 0.6119 0.3438  5 Au 2.71-3.03, 1 Sc 2.95, 2 Ag 2.97-3.02
Au3 0.9914 0.3881 0.6562  5 Au 2.71-3.03, 1 Sc 2.95, 2 Ag 2.97-3.02
Au4 0.7822 0.0137 0.7639  4 Au 2.77-3.03, 3 Sc 2.82-3.03, 2 Ag 2.95-3.09
Au5 0.5086 0.3438 0.6119  5 Au 2.71-3.03, 1 Sc 2.95, 2 Ag 2.97-3.02
Au6 0.2178 0.9863 0.2361  4 Au 2.77-3.03, 3 Sc 2.82-3.03, 2 Ag 2.95-3.09
Au7 0.7583 0.5515 0.0727  1 Sc 2.80, 5 Au 2.81-3.05, 3 Ag 2.82-2.94
Au8 0.4914 0.6562 0.3881  5 Au 2.71-3.03, 1 Sc 2.95, 2 Ag 2.97-3.02
Au9 0.2583 0.0727 0.5515  1 Sc 2.80, 5 Au 2.81-3.05, 3 Ag 2.82-2.94
Au10 0.2417 0.4485 0.9273  1 Sc 2.80, 5 Au 2.81-3.05, 3 Ag 2.82-2.94
Au11 0.7178 0.2361 0.9863  4 Au 2.77-3.03, 3 Sc 2.82-3.03, 2 Ag 2.95-3.09
Au12 0.7417 0.9273 0.4485  1 Sc 2.80, 5 Au 2.81-3.05, 3 Ag 2.82-2.94
Sc1 0.7500 0.8864 0.1136  10 Au 2.80-3.03
Sc2 0.2500 0.1136 0.8864  10 Au 2.80-3.03

(8)
Ti3GaCu2: relaxed, PBE-GGA.

Calculated values
density of states at the Fermi level = 5.45 states/eV/f.u.
space group = P4/mmm, No. 123
ρ = 6.4 g/cm3
ΔE_f = -0.203 eV/atom

Lattice parameters (Å, degrees): 2.8063 2.8063 11.2954 90.00 90.00 90.00
Closest atoms and distances in Å follow each position.
Fractional positions:
Ti1 0.0000 0.0000 0.6727  4 Cu 2.72, 4 Ga 2.78, 4 Ti 2.81
Ti2 0.0000 0.0000 0.0000  8 Cu 2.71, 4 Ti 2.81
Ti3 0.0000 0.0000 0.3273  4 Cu 2.72, 4 Ga 2.78, 4 Ti 2.81
Cu1 0.5000 0.5000 0.8369  8 Ti 2.71-2.72, 4 Cu 2.81
Cu2 0.5000 0.5000 0.1631  8 Ti 2.71-2.72, 4 Cu 2.81
Ga1 0.5000 0.5000 0.5000  8 Ti 2.78, 4 Ga 2.81

Q: Number 1 is which compound?
A: Rb7Cl2O2

Q: Which of these has the lowest density of states at the Fermi level?
A: CsBeBi